Record 1
# ReP

A relaxed structure of ReP (GGA-PBE, Alexandria).

a b c (Å): 6.059 6.059 4.148
angles (deg): 90.00 90.00 90.00
Atoms (fractional coordinates):
Re  0.835  0.165  0.500
P  0.289  0.711  0.000
P  0.789  0.789  0.500
P  0.711  0.289  0.000
P  0.211  0.211  0.500
Re  0.665  0.665  0.000
Re  0.335  0.335  0.000
Re  0.165  0.835  0.500

Values from the calculation:
**SG**: P4_2/mnm, No. 136

Record 2
# Dy2YTm2Sc2

A relaxed structure of Dy2YTm2Sc2 (GGA-PBE, Alexandria).

a b c (Å): 3.379 8.724 8.133
angles (deg): 116.26 90.00 101.17
Atoms (fractional coordinates):
Dy  0.572  0.145  0.915
Dy  0.428  0.855  0.085
Sc  0.652  0.305  0.394
Sc  0.348  0.695  0.606
Y  0.000  0.000  0.500
Tm  0.212  0.423  0.791
Tm  0.788  0.577  0.209

Values from the calculation:
**SG**: C2/m, No. 12

Record 3
# RbB4Se7

A relaxed structure of RbB4Se7 (GGA-PBE, Alexandria).

a b c (Å): 5.707 6.018 14.335
angles (deg): 90.00 90.00 90.00
Atoms (fractional coordinates):
B  0.600  0.668  0.874
B  0.578  0.175  0.248
Se  0.959  0.158  0.741
Se  0.459  0.842  0.241
B  0.078  0.825  0.748
Se  0.461  0.291  0.373
B  0.578  0.175  0.752
Rb  0.498  0.795  0.500
Se  0.959  0.158  0.259
Se  0.459  0.842  0.759
Se  0.461  0.291  0.627
Se  0.986  0.188  0.500
Se  0.961  0.709  0.873
Se  0.989  0.656  0.629
Se  0.486  0.812  0.000
Se  0.961  0.709  0.127
B  0.100  0.332  0.626
B  0.100  0.332  0.374
Se  0.489  0.344  0.871
B  0.078  0.825  0.252
Se  0.989  0.656  0.371
Rb  0.998  0.205  0.000
Se  0.489  0.344  0.129
B  0.600  0.668  0.126

Values from the calculation:
**SG**: Pmn2_1, No. 31

How do the records compare in E_tot? In the order shown, they have -68.64 -36.01 -109.57 eV for the cell shown.
How do the records compare in density of states at the Fermi level? In the order shown, they have 6.2 12.5 18.8 states/eV/cell.